# 1
Entry from Alexandria via LeMat-Bulk: a relaxed AcCd2Ag2Au crystal (PBE).

Geometry as CIF:
```
data_AcCd2Ag2Au
_cell_length_a 4.371
_cell_length_b 4.371
_cell_length_c 9.576
_cell_angle_alpha 103.19
_cell_angle_beta 103.19
_cell_angle_gamma 90.00
_space_group_name_H-M_alt 'P 1'
_space_group_IT_number 1
_space_group_name_Hall 'P 1'
loop_
_atom_site_label
_atom_site_fract_x
_atom_site_fract_y
_atom_site_fract_z
Ag1 0.147 0.147 0.294
Ag2 0.853 0.853 0.706
Ac1 0.500 0.500 0.000
Au1 0.000 0.000 0.000
Cd1 0.750 0.250 0.500
Cd2 0.250 0.750 0.500
```

Results
E, Ry/atom: -0.1895


# 2
Entry from Alexandria via LeMat-Bulk: a relaxed DySc2Pa crystal (PBE).

Geometry as CIF:
```
data_DySc2Pa
_cell_length_a 3.289
_cell_length_b 3.289
_cell_length_c 11.154
_cell_angle_alpha 81.52
_cell_angle_beta 81.52
_cell_angle_gamma 60.00
_space_group_name_H-M_alt 'P 1'
_space_group_IT_number 1
_space_group_name_Hall 'P 1'
loop_
_atom_site_label
_atom_site_fract_x
_atom_site_fract_y
_atom_site_fract_z
Sc1 0.247 0.247 0.258
Sc2 0.086 0.086 0.742
Pa1 0.500 0.500 0.499
Dy1 0.666 0.666 0.001
```

Results
Energy above the lowest structure with this stoichiometry, eV per formula unit: 0.00


# 3
Entry from Alexandria via LeMat-Bulk: a relaxed RbCd2SiO4 crystal (PBE).

Geometry as CIF:
```
data_RbCd2SiO4
_cell_length_a 5.817
_cell_length_b 5.817
_cell_length_c 5.599
_cell_angle_alpha 121.32
_cell_angle_beta 121.32
_cell_angle_gamma 89.98
_space_group_name_H-M_alt 'P 1'
_space_group_IT_number 1
_space_group_name_Hall 'P 1'
loop_
_atom_site_label
_atom_site_fract_x
_atom_site_fract_y
_atom_site_fract_z
O1 0.459 0.793 0.253
O2 0.541 0.541 0.748
O3 0.793 0.459 0.253
O4 0.207 0.207 0.748
Cd1 0.250 0.750 0.500
Cd2 0.750 0.250 0.500
Rb1 0.000 0.000 0.000
Si1 0.500 0.500 0.000
```

Results
E_form (uncorrected), meV per atom: -1666


# 4
Entry from Alexandria via LeMat-Bulk: a relaxed Li2YW crystal (PBE).

Geometry as CIF:
```
data_Li2YW
_cell_length_a 5.543
_cell_length_b 5.543
_cell_length_c 5.248
_cell_angle_alpha 81.86
_cell_angle_beta 81.86
_cell_angle_gamma 29.77
_space_group_name_H-M_alt 'P 1'
_space_group_IT_number 1
_space_group_name_Hall 'P 1'
loop_
_atom_site_label
_atom_site_fract_x
_atom_site_fract_y
_atom_site_fract_z
Li1 0.013 0.013 0.955
Li2 0.487 0.487 0.545
W1 0.750 0.750 0.750
Y1 0.250 0.250 0.250
```

Results
Energy above the lowest structure with this stoichiometry, eV per formula unit: 0.39


# 5
Entry from Alexandria via LeMat-Bulk: a relaxed MgZn2HAu crystal (PBE).

Geometry as CIF:
```
data_MgZn2HAu
_cell_length_a 4.020
_cell_length_b 4.020
_cell_length_c 4.281
_cell_angle_alpha 90.00
_cell_angle_beta 90.00
_cell_angle_gamma 90.00
_space_group_name_H-M_alt 'P 1'
_space_group_IT_number 1
_space_group_name_Hall 'P 1'
loop_
_atom_site_label
_atom_site_fract_x
_atom_site_fract_y
_atom_site_fract_z
Mg1 0.000 0.000 0.500
H1 0.000 0.000 0.000
Zn1 0.500 0.000 0.000
Zn2 0.000 0.500 0.000
Au1 0.500 0.500 0.500
```

Results
E, Ry/atom: -0.1631


# 6
Entry from Alexandria via LeMat-Bulk: a relaxed InHRh3 crystal (PBE).

Geometry as CIF:
```
data_InHRh3
_cell_length_a 10.491
_cell_length_b 7.321
_cell_length_c 7.321
_cell_angle_alpha 79.64
_cell_angle_beta 124.36
_cell_angle_gamma 55.64
_space_group_name_H-M_alt 'P 1'
_space_group_IT_number 1
_space_group_name_Hall 'P 1'
loop_
_atom_site_label
_atom_site_fract_x
_atom_site_fract_y
_atom_site_fract_z
Rh1 0.077 0.738 0.637
Rh2 0.577 0.863 0.762
Rh3 0.427 0.383 0.483
Rh4 0.073 0.983 0.883
Rh5 0.423 0.137 0.238
Rh6 0.094 0.217 0.158
Rh7 0.594 0.342 0.283
Rh8 0.906 0.783 0.842
Rh9 0.923 0.262 0.363
Rh10 0.573 0.617 0.517
Rh11 0.406 0.658 0.717
Rh12 0.927 0.017 0.117
In1 0.925 0.509 0.637
In2 0.075 0.491 0.363
In3 0.575 0.137 0.009
In4 0.425 0.863 0.991
H1 0.750 0.198 0.698
H2 0.250 0.554 0.054
H3 0.250 0.802 0.302
H4 0.750 0.446 0.946
```

Results
Energy above the lowest structure with this stoichiometry, eV per formula unit: 0.68


# 7
Entry from Alexandria via LeMat-Bulk: a relaxed LiYSb2 crystal (PBE).

Geometry as CIF:
```
data_LiYSb2
_cell_length_a 5.251
_cell_length_b 5.251
_cell_length_c 5.251
_cell_angle_alpha 60.00
_cell_angle_beta 60.00
_cell_angle_gamma 60.00
_space_group_name_H-M_alt 'P 1'
_space_group_IT_number 1
_space_group_name_Hall 'P 1'
loop_
_atom_site_label
_atom_site_fract_x
_atom_site_fract_y
_atom_site_fract_z
Sb1 0.250 0.250 0.250
Sb2 0.750 0.750 0.750
Y1 0.500 0.500 0.500
Li1 0.000 0.000 0.000
```

Results
E_form (uncorrected), meV per atom: -558
Energy above the lowest structure with this stoichiometry, eV per formula unit: 0.96


# 8
Entry from Alexandria via LeMat-Bulk: a relaxed Zr2SnPN crystal (PBE).

Geometry as CIF:
```
data_Zr2SnPN
_cell_length_a 5.167
_cell_length_b 3.514
_cell_length_c 5.167
_cell_angle_alpha 90.00
_cell_angle_beta 90.00
_cell_angle_gamma 90.00
_space_group_name_H-M_alt 'P 1'
_space_group_IT_number 1
_space_group_name_Hall 'P 1'
loop_
_atom_site_label
_atom_site_fract_x
_atom_site_fract_y
_atom_site_fract_z
Sn1 0.500 0.500 0.500
Zr1 0.000 0.000 0.500
Zr2 0.500 0.000 0.000
P1 0.000 0.000 0.000
N1 0.000 0.500 0.000
```

Results
E_form (uncorrected), meV per atom: -41


# 9
Entry from Alexandria via LeMat-Bulk: a relaxed Ca2ScRe crystal (PBE).

Geometry as CIF:
```
data_Ca2ScRe
_cell_length_a 3.557
_cell_length_b 3.557
_cell_length_c 8.425
_cell_angle_alpha 90.00
_cell_angle_beta 90.00
_cell_angle_gamma 90.00
_space_group_name_H-M_alt 'P 1'
_space_group_IT_number 1
_space_group_name_Hall 'P 1'
loop_
_atom_site_label
_atom_site_fract_x
_atom_site_fract_y
_atom_site_fract_z
Sc1 0.500 0.500 0.680
Ca1 0.500 0.500 0.317
Ca2 0.000 0.000 0.952
Re1 0.000 0.000 0.552
```

Results
Energy above the lowest structure with this stoichiometry, eV per formula unit: 0.00


# 10
Entry from Alexandria via LeMat-Bulk: a relaxed TmPuPtRh crystal (PBE).

Geometry as CIF:
```
data_TmPuPtRh
_cell_length_a 4.871
_cell_length_b 4.871
_cell_length_c 4.871
_cell_angle_alpha 60.00
_cell_angle_beta 60.00
_cell_angle_gamma 60.00
_space_group_name_H-M_alt 'P 1'
_space_group_IT_number 1
_space_group_name_Hall 'P 1'
loop_
_atom_site_label
_atom_site_fract_x
_atom_site_fract_y
_atom_site_fract_z
Pt1 0.750 0.750 0.750
Rh1 0.250 0.250 0.250
Pu1 0.000 0.000 0.000
Tm1 0.500 0.500 0.500
```

Results
E, Ry/atom: -0.6511